No. 1
ZrVReRh | PBE | relaxed

Summary:
VASP energy, eV/cell: -154.513

Cell: 6.347 6.347 6.347 Å, 90.00 90.00 90.00°
Space group F-43m (No. 216)
Inequivalent atoms, fractional coordinates:
Zr1 0.000 0.000 0.000 x4
V1 0.000 0.000 0.500 x4
Re1 0.250 0.250 0.750 x4
Rh1 0.250 0.250 0.250 x4



No. 2
ReRhW2 | PBE | relaxed

Summary:
E above lowest polymorph, eV/f.u.: 0.91

Cell: 6.293 6.293 6.293 Å, 90.00 90.00 90.00°
Space group Fm-3m (No. 225)
Inequivalent atoms, fractional coordinates:
Re1 0.000 0.000 0.000 x4
Rh1 0.000 0.000 0.500 x4
W1 0.250 0.250 0.250 x8



No. 3
Re2RhW | PBE | relaxed

Summary:
E above lowest polymorph, eV/f.u.: 0.47

Cell: 2.706 4.385 5.235 Å, 90.00 101.50 90.00°
Space group Pm (No. 6)
Inequivalent atoms, fractional coordinates:
Re1 0.000 0.000 0.000 x1
Re2 0.295 0.500 0.743 x1
Rh1 0.583 0.500 0.246 x1
W1 0.606 0.000 0.497 x1



No. 4
ReRhW2 | PBE | relaxed

Summary:
E above lowest polymorph, eV/f.u.: 0.66

Cell: 3.296 3.296 5.724 Å, 90.00 90.00 90.00°
Space group P4/mmm (No. 123)
Inequivalent atoms, fractional coordinates:
Re1 0.000 0.000 0.000 x1
Rh1 0.000 0.000 0.500 x1
W1 0.500 0.500 0.249 x2



No. 5
ReRhW2 | PBE | relaxed

Summary:
E above lowest polymorph, eV/f.u.: 6.22

Cell: 5.686 5.686 11.401 Å, 90.00 90.00 90.00°
Space group I-42d (No. 122)
Inequivalent atoms, fractional coordinates:
Re1 0.000 0.000 0.000 x4
Rh1 0.000 0.000 0.500 x4
W1 0.243 0.250 0.625 x8



No. 6
ReRh6W | PBE | relaxed

Summary:
E above lowest polymorph, eV/f.u.: 6.25

Cell: 7.2371 7.2371 9.0313 Å, 90.00 90.00 120.00°
Space group R-3m (No. 166, hexagonal axes)
Inequivalent atoms, fractional coordinates:
Re1 0.0000 0.0000 0.0000 x3
Rh1 0.0761 0.5381 0.3687 x18
W1 0.0000 0.0000 0.5000 x3



No. 7
ReRhW2 | PBE | relaxed

Summary:
E above lowest polymorph, eV/f.u.: 0.05

Cell: 3.968 3.968 3.899 Å, 90.00 90.00 90.00°
Space group P4/mmm (No. 123)
Inequivalent atoms, fractional coordinates:
Re1 0.000 0.000 0.000 x1
Rh1 0.500 0.500 0.000 x1
W1 0.000 0.500 0.500 x2



No. 8
ReRhW2 | PBE | relaxed

Summary:
E above lowest polymorph, eV/f.u.: 0.04

Cell: 3.974 3.974 7.788 Å, 90.00 90.00 90.00°
Space group I4/mmm (No. 139)
Inequivalent atoms, fractional coordinates:
Re1 0.000 0.000 0.000 x2
Rh1 0.000 0.000 0.500 x2
W1 0.000 0.500 0.250 x4